*A*
DFT (PBE-GGA) results for TlCu3F after structural relaxation.

POSCAR file:
```
TlCu3F
1.0
4.280 0.000 0.000
0.000 4.280 0.000
0.000 0.000 4.280
Tl Cu F
1 3 1
direct
0.000 0.000 0.000
0.000 0.500 0.500
0.500 0.000 0.500
0.500 0.500 0.000
0.500 0.500 0.500
```

Properties
crystal system: cubic
theoretical density: 8.8 g cm⁻³
Fermi-level density of states: 1.96 states/eV/f.u.

*B*
DFT (PBE-GGA) results for TlCu3F after structural relaxation.

POSCAR file:
```
TlCu3F
1.0
4.938 0.000 0.000
0.000 4.938 0.000
0.000 0.000 4.938
Tl Cu F
1 3 1
direct
0.000 0.000 0.000
0.000 0.000 0.500
0.000 0.500 0.000
0.500 0.000 0.000
0.500 0.500 0.500
```

Properties
crystal system: cubic
theoretical density: 5.7 g cm⁻³
Fermi-level density of states: 2.82 states/eV/f.u.

Least stable: *B*